VASP calculation (GGA-PBE) on crystalline LiErSc2Pt4 at its relaxed geometry.

**Formation enthalpy at 0 K**: -1.094 eV per atom
**DOS(E_F)**: 4.17 states/eV per cell

Lattice parameters (Å, degrees): 8.1247 8.1247 8.1247 33.15 33.15 33.15
Last column: nearest neighbours and their distance in Å.
Fractional coordinates of all 8 atoms:
1 Li 0.0000 0.0000 0.0000  8 Pt 2.75-2.85
2 Er 0.5000 0.5000 0.5000  8 Pt 2.86-2.89
3 Sc 0.2577 0.2577 0.2577  7 Pt 2.72-2.86
4 Sc 0.7423 0.7423 0.7423  7 Pt 2.72-2.86
5 Pt 0.1195 0.1195 0.1195  1 Li 2.75, 3 Sc 2.86, 3 Er 2.89
6 Pt 0.3759 0.3759 0.3759  4 Sc 2.72-2.78, 3 Li 2.85, 1 Er 2.86
7 Pt 0.6241 0.6241 0.6241  4 Sc 2.72-2.78, 3 Li 2.85, 1 Er 2.86
8 Pt 0.8805 0.8805 0.8805  1 Li 2.75, 3 Sc 2.86, 3 Er 2.89

---

VASP calculation (GGA-PBE) on crystalline LiErSi2Pt4 at its relaxed geometry.

**E**: -6.092 eV/atom
**DOS(E_F)**: 3.15 states/eV per cell

Lattice parameters (Å, degrees): 8.8036 8.8036 8.8036 27.28 27.28 27.28
Last column: nearest neighbours and their distance in Å.
Fractional coordinates of all 8 atoms:
1 Li 0.0000 0.0000 0.0000  8 Pt 2.44-2.53
2 Er 0.5000 0.5000 0.5000  6 Pt 3.00
3 Si 0.2607 0.2607 0.2607  7 Pt 2.47-2.65
4 Si 0.7393 0.7393 0.7393  7 Pt 2.47-2.65
5 Pt 0.0960 0.0960 0.0960  1 Li 2.44, 3 Si 2.47
6 Pt 0.3651 0.3651 0.3651  3 Li 2.53, 4 Si 2.61-2.65
7 Pt 0.6349 0.6349 0.6349  3 Li 2.53, 4 Si 2.61-2.65
8 Pt 0.9040 0.9040 0.9040  1 Li 2.44, 3 Si 2.47

---

VASP calculation (GGA-PBE) on crystalline LiEr2Si4Pt3 at its relaxed geometry.

**E**: -6.057 eV/atom
**DOS(E_F)**: 3.35 states/eV per cell

Lattice parameters (Å, degrees): 4.0940 4.0940 10.1785 90.00 90.00 90.00
Last column: nearest neighbours and their distance in Å.
Fractional coordinates of all 10 atoms:
1 Li 0.0000 0.0000 0.0000  4 Si 2.48
2 Er 0.0000 0.5000 0.7548  8 Si 3.10-3.30, 6 Pt 3.17-3.23, 2 Li 3.23
3 Er 0.5000 0.0000 0.2452  8 Si 3.10-3.30, 6 Pt 3.17-3.23, 2 Li 3.23
4 Si 0.0000 0.0000 0.5000  4 Pt 2.42
5 Si 0.0000 0.5000 0.1367  3 Pt 2.40-2.48, 2 Li 2.48
6 Si 0.5000 0.0000 0.8633  3 Pt 2.40-2.48, 2 Li 2.48
7 Si 0.5000 0.5000 0.5000  4 Pt 2.42
8 Pt 0.0000 0.5000 0.3729  5 Si 2.40-2.42
9 Pt 0.5000 0.0000 0.6271  5 Si 2.40-2.42
10 Pt 0.5000 0.5000 0.0000  4 Si 2.48

---

VASP calculation (GGA-PBE) on crystalline LiErSiPt at its relaxed geometry.

**E**: -5.323 eV/atom

Lattice parameters (Å, degrees): 4.5362 4.5362 4.5362 60.00 60.00 60.00
Last column: nearest neighbours and their distance in Å.
Fractional coordinates of all 4 atoms:
1 Li 0.0000 0.0000 0.0000  4 Er 2.78, 4 Si 2.78
2 Er 0.7500 0.7500 0.7500  4 Li 2.78, 4 Pt 2.78
3 Si 0.2500 0.2500 0.2500  4 Li 2.78, 4 Pt 2.78
4 Pt 0.5000 0.5000 0.5000  4 Er 2.78, 4 Si 2.78

---

VASP calculation (GGA-PBE) on crystalline LiSmErPt at its relaxed geometry.

**Formation enthalpy at 0 K**: -0.632 eV per atom
**DOS(E_F)**: 3.42 states/eV per cell

Lattice parameters (Å, degrees): 5.0129 5.0129 5.0129 60.00 60.00 60.00
Last column: nearest neighbours and their distance in Å.
Fractional coordinates of all 4 atoms:
1 Li 0.0000 0.0000 0.0000  4 Er 3.07, 4 Sm 3.07
2 Sm 0.2500 0.2500 0.2500  4 Pt 3.07, 4 Li 3.07
3 Er 0.7500 0.7500 0.7500  4 Pt 3.07, 4 Li 3.07
4 Pt 0.5000 0.5000 0.5000  4 Er 3.07, 4 Sm 3.07

---

VASP calculation (GGA-PBE) on crystalline LiErSn2Pt4 at its relaxed geometry.

**Formation enthalpy at 0 K**: -0.761 eV per atom
**DOS(E_F)**: 3.51 states/eV per cell

Lattice parameters (Å, degrees): 8.5651 8.5651 8.5651 30.67 30.67 30.67
Last column: nearest neighbours and their distance in Å.
Fractional coordinates of all 8 atoms:
1 Li 0.0000 0.0000 0.0000  8 Pt 2.55-2.76
2 Er 0.5000 0.5000 0.5000  8 Pt 3.03-3.19
3 Sn 0.2564 0.2564 0.2564  7 Pt 2.70-2.80
4 Sn 0.7436 0.7436 0.7436  7 Pt 2.70-2.80
5 Pt 0.1043 0.1043 0.1043  1 Li 2.55, 3 Sn 2.70
6 Pt 0.3697 0.3697 0.3697  3 Li 2.76, 4 Sn 2.77-2.80
7 Pt 0.6303 0.6303 0.6303  3 Li 2.76, 4 Sn 2.77-2.80
8 Pt 0.8957 0.8957 0.8957  1 Li 2.55, 3 Sn 2.70

---

VASP calculation (GGA-PBE) on crystalline SrLiErPt at its relaxed geometry.

**Formation enthalpy at 0 K**: -0.458 eV per atom
**DOS(E_F)**: 3.40 states/eV per cell

Lattice parameters (Å, degrees): 5.1123 5.1123 5.1123 60.00 60.00 60.00
Last column: nearest neighbours and their distance in Å.
Fractional coordinates of all 4 atoms:
1 Sr 0.0000 0.0000 0.0000  4 Li 3.13, 4 Pt 3.13
2 Li 0.7500 0.7500 0.7500  4 Er 3.13, 4 Sr 3.13
3 Er 0.5000 0.5000 0.5000  4 Li 3.13, 4 Pt 3.13
4 Pt 0.2500 0.2500 0.2500  4 Er 3.13, 4 Sr 3.13

---

VASP calculation (GGA-PBE) on crystalline SrLiErPt2 at its relaxed geometry.

**Formation enthalpy at 0 K**: -0.838 eV per atom
**DOS(E_F)**: 2.44 states/eV per cell

Lattice parameters (Å, degrees): 6.9022 6.9022 6.9022 143.41 143.41 52.70
Last column: nearest neighbours and their distance in Å.
Fractional coordinates of all 5 atoms:
1 Sr 0.0000 0.0000 0.0000  8 Pt 3.35
2 Li 0.2500 0.7500 0.5000  4 Pt 2.78, 4 Er 3.06
3 Er 0.7500 0.2500 0.5000  4 Pt 2.78, 4 Li 3.06
4 Pt 0.3912 0.3912 0.0000  1 Pt 2.69, 2 Li 2.78, 2 Er 2.78
5 Pt 0.6088 0.6088 0.0000  1 Pt 2.69, 2 Li 2.78, 2 Er 2.78

---

VASP calculation (GGA-PBE) on crystalline LiErZnPt at its relaxed geometry.

**Formation enthalpy at 0 K**: -0.654 eV per atom
**DOS(E_F)**: 3.87 states/eV per cell

Lattice parameters (Å, degrees): 4.6422 4.6422 4.6422 60.00 60.00 60.00
Last column: nearest neighbours and their distance in Å.
Fractional coordinates of all 4 atoms:
1 Li 0.0000 0.0000 0.0000  4 Er 2.84, 4 Zn 2.84
2 Er 0.2500 0.2500 0.2500  4 Pt 2.84, 4 Li 2.84
3 Zn 0.7500 0.7500 0.7500  4 Pt 2.84, 4 Li 2.84
4 Pt 0.5000 0.5000 0.5000  4 Er 2.84, 4 Zn 2.84

---

VASP calculation (GGA-PBE) on crystalline LiErPu at its relaxed geometry.

**Formation enthalpy at 0 K**: 0.246 eV per atom
**DOS(E_F)**: 8.60 states/eV per cell

Lattice parameters (Å, degrees): 7.6058 7.6058 7.6058 154.93 154.93 35.75
Last column: nearest neighbours and their distance in Å.
Fractional coordinates of all 3 atoms:
1 Li 0.0000 0.0000 0.0000  4 Li 3.30, 4 Pu 3.30, 4 Er 3.33
2 Er 0.3359 0.3359 0.0000  4 Er 3.30, 4 Li 3.33, 4 Pu 3.44
3 Pu 0.6613 0.6613 0.0000  4 Pu 3.30, 4 Li 3.30, 4 Er 3.44

---

| no. | spin magnetization (μB/atom) |
| --- | --- |
| 1 | 0.0003 |
| 2 | 0.0000 |
| 3 | 0.0000 |
| 4 | 0.0000 |
| 5 | 0.0009 |
| 6 | 0.0000 |
| 7 | 0.0000 |
| 8 | 0.0000 |
| 9 | 0.0001 |
| 10 | 2.0092 |